Compound: LiTl2Pb
Source: the Alexandria database
Functional: SCAN
Structure: single point on PBEsol structure

Values from the calculation:
The energy relative to the lowest polymorph listed for this composition comes out at 0.053 eV/atom. For the total magnetization, the calculation gives 0.0 μB/f.u. Its volume is 105 Å³/f.u.

CIF file:
```
data_LiTl2Pb
_cell_length_a 6.449
_cell_length_b 9.606
_cell_length_c 3.383
_cell_angle_alpha 90.00
_cell_angle_beta 90.00
_cell_angle_gamma 90.00
_space_group_name_H-M_alt 'C m m m'
_space_group_IT_number 65
_space_group_name_Hall '-C 2 2'
loop_
_atom_site_label
_atom_site_type_symbol
_atom_site_fract_x
_atom_site_fract_y
_atom_site_fract_z
_atom_site_occupancy
Li1 Li 0.000 0.000 0.000 1
Tl1 Tl 0.250 0.250 0.500 1
Pb1 Pb 0.000 0.500 0.000 1
```